Model P:
Density functional theory data (PBE-GGA) for In2SnSe4 after structural relaxation.

## Properties
Total moment, μB/atom: 0.000
Symmetry: No. 12
D(E_F), states/eV per cell: 0.448

Geometry as extended XYZ:
```
7
Lattice="7.512 -2.068 0.000 7.512 2.068 0.000 -2.692 0.000 6.356" Properties=species:S:1:pos:R:3 pbc="T T T"
In 2.907 0.000 1.368
In 9.426 0.000 4.988
Sn 6.167 0.000 3.178
Se 0.839 0.000 3.148
Se 5.437 0.000 0.254
Se 6.897 0.000 6.101
Se 11.494 0.000 3.208
```

=====

Model Q:
Density functional theory data (PBE-GGA) for In2SnSe4 after structural relaxation.

## Properties
Total moment, μB/atom: 0.000
Symmetry: No. 111
D(E_F), states/eV per cell: 0.009

Geometry as extended XYZ:
```
7
Lattice="5.893 0.000 0.000 0.000 5.893 0.000 0.000 0.000 6.867" Properties=species:S:1:pos:R:3 pbc="T T T"
In 0.000 2.947 0.000
In 2.947 0.000 0.000
Sn 0.000 0.000 3.433
Se 1.616 1.616 5.248
Se 1.616 4.277 1.618
Se 4.277 1.616 1.618
Se 4.277 4.277 5.248
```

=====

On energetic grounds, model P is preferred over the next structure by 3.5 kJ/mol of atoms.

=====

Model P:
Density functional theory data (PBE-GGA) for In2SnSe5 after structural relaxation.

## Properties
Total moment, μB/atom: 0.000
Symmetry: No. 63
D(E_F), states/eV per cell: 4.071

Geometry as extended XYZ:
```
16
Lattice="2.857 -6.788 0.000 2.857 6.788 0.000 0.000 0.000 12.564" Properties=species:S:1:pos:R:3 pbc="T T T"
In 2.857 4.705 7.038
In 2.857 4.705 11.809
In 2.857 -4.705 0.755
In 2.857 -4.705 5.527
Sn 2.857 4.037 3.141
Sn 2.857 -4.037 9.423
Se 2.857 6.115 1.475
Se 2.857 6.115 4.807
Se 2.857 3.341 9.423
Se 2.857 2.414 0.940
Se 2.857 2.414 5.342
Se 2.857 -2.414 7.223
Se 2.857 -2.414 11.624
Se 2.857 -3.341 3.141
Se 2.857 -6.115 7.757
Se 2.857 -6.115 11.089
```

=====

Model Q:
Density functional theory data (PBE-GGA) for In2SnSe5 after structural relaxation.

## Properties
Total moment, μB/atom: 0.000
Symmetry: No. 1

Geometry as extended XYZ:
```
8
Lattice="6.669 0.000 0.000 2.145 6.427 0.000 2.192 1.901 6.491" Properties=species:S:1:pos:R:3 pbc="T T T"
In 0.000 0.000 0.000
In 5.588 4.125 5.383
Sn 9.215 5.000 3.811
Se 3.543 5.767 6.139
Se 3.900 6.105 1.949
Se 3.576 2.578 4.283
Se 4.720 1.428 0.895
Se 6.746 5.119 3.282
```

=====

On energetic grounds, model Q is preferred over the next structure by 8.2 kJ/mol of atoms.

=====

Model P:
Density functional theory data (PBE-GGA) for In2Sn2Se5 after structural relaxation.

## Properties
Total moment, μB/atom: 0.000
Symmetry: No. 12
D(E_F), states/eV per cell: 0.277

Geometry as extended XYZ:
```
9
Lattice="9.771 -2.108 0.000 9.771 2.108 0.000 -0.607 0.000 6.788" Properties=species:S:1:pos:R:3 pbc="T T T"
In 2.290 0.000 2.647
In 16.646 0.000 4.140
Sn 8.471 0.000 1.127
Sn 10.464 0.000 5.661
Se -0.304 0.000 3.394
Se 2.784 0.000 0.138
Se 6.127 0.000 2.717
Se 12.809 0.000 4.071
Se 16.152 0.000 6.650
```

=====

Model Q:
Density functional theory data (PBE-GGA) for In2Sn2Se5 after structural relaxation.

## Properties
Total moment, μB/atom: 0.000
Symmetry: No. 12
D(E_F), states/eV per cell: 0.262

Geometry as extended XYZ:
```
9
Lattice="7.422 -2.114 0.000 7.422 2.114 0.000 -5.330 0.000 9.349" Properties=species:S:1:pos:R:3 pbc="T T T"
In 2.627 0.000 1.009
In 6.887 0.000 8.340
Sn 2.957 0.000 5.514
Sn 6.556 0.000 3.835
Se -2.665 0.000 4.675
Se 1.331 0.000 3.190
Se 5.297 0.000 0.618
Se 4.216 0.000 8.732
Se 8.182 0.000 6.159
```

=====

On energetic grounds, model P is preferred over the next structure by 2.3 kJ/mol of atoms.

=====

Model P:
Density functional theory data (PBE-GGA) for In2SnSe2 after structural relaxation.

## Properties
Total moment, μB/atom: 0.000
Symmetry: No. 139
D(E_F), states/eV per cell: 1.997

Geometry as extended XYZ:
```
5
Lattice="-2.073 2.073 7.999 2.073 -2.073 7.999 2.073 2.073 -7.999" Properties=species:S:1:pos:R:3 pbc="T T T"
In 2.073 0.000 3.999
In 0.000 2.073 3.999
Sn 0.000 0.000 0.000
Se 0.000 0.000 6.517
Se 0.000 0.000 9.481
```

=====

Model Q:
Density functional theory data (PBE-GGA) for In2SnSe2 after structural relaxation.

## Properties
Total moment, μB/atom: 0.000
Symmetry: No. 127
D(E_F), states/eV per cell: 4.840

Geometry as extended XYZ:
```
10
Lattice="8.247 0.000 0.000 0.000 8.247 0.000 0.000 0.000 3.984" Properties=species:S:1:pos:R:3 pbc="T T T"
In 1.134 2.990 0.000
In 2.990 7.113 0.000
In 5.257 1.134 0.000
In 7.113 5.257 0.000
Sn 0.000 0.000 1.992
Sn 4.123 4.123 1.992
Se 1.466 5.590 1.992
Se 2.657 1.466 1.992
Se 5.590 6.780 1.992
Se 6.780 2.657 1.992
```

=====

On energetic grounds, model Q is preferred over the next structure by 14.4 kJ/mol of atoms.

=====

Model P:
Density functional theory data (PBE-GGA) for SrInSe after structural relaxation.

## Properties
Total moment, μB/atom: 0.000
Symmetry: No. 156
D(E_F), states/eV per cell: 1.365

Geometry as extended XYZ:
```
3
Lattice="5.043 0.000 0.000 -2.522 4.367 0.000 0.000 0.000 4.134" Properties=species:S:1:pos:R:3 pbc="T T T"
Sr 0.000 0.000 0.000
In 2.522 1.456 2.064
Se 0.000 2.912 2.072
```

=====

Model Q:
Density functional theory data (PBE-GGA) for SrInSe after structural relaxation.

## Properties
Total moment, μB/atom: 0.000
Symmetry: No. 216
D(E_F), states/eV per cell: 2.513

Geometry as extended XYZ:
```
3
Lattice="0.000 3.757 3.757 3.757 0.000 3.757 3.757 3.757 0.000" Properties=species:S:1:pos:R:3 pbc="T T T"
Sr 0.000 0.000 0.000
In 1.879 1.879 1.879
Se 5.636 5.636 5.636
```

=====

On energetic grounds, model P is preferred over the next structure by 23.9 kJ/mol of atoms.

=====

Model P:
Density functional theory data (PBE-GGA) for SrInSe after structural relaxation.

## Properties
Total moment, μB/atom: 0.000
Symmetry: No. 216
D(E_F), states/eV per cell: 1.825

Geometry as extended XYZ:
```
3
Lattice="0.000 3.702 3.702 3.702 0.000 3.702 3.702 3.702 0.000" Properties=species:S:1:pos:R:3 pbc="T T T"
Sr 0.000 0.000 0.000
In 3.702 3.702 3.702
Se 5.553 5.553 5.553
```

=====

Model Q:
Density functional theory data (PBE-GGA) for SrInSe after structural relaxation.

## Properties
Total moment, μB/atom: 0.000
Symmetry: No. 107
D(E_F), states/eV per cell: 0.353

Geometry as extended XYZ:
```
3
Lattice="-2.139 2.139 6.220 2.139 -2.139 6.220 2.139 2.139 -6.220" Properties=species:S:1:pos:R:3 pbc="T T T"
Sr 0.000 0.000 0.000
In 0.000 0.000 3.476
Se 0.000 0.000 6.261
```

=====

On energetic grounds, model Q is preferred over the next structure by 12.6 kJ/mol of atoms.